[1]
{
  "formula": "BaNaBr2",
  "functional": "PBE-GGA",
  "state": "optimized geometry",
  "lattice_angstrom": [[0.000, 4.058, 4.058], [4.058, 0.000, 4.058], [4.058, 4.058, 0.000]],
  "species": ["Ba", "Na", "Br", "Br"],
  "fractional_positions": [[0.000, 0.000, 0.000], [0.500, 0.500, 0.500], [0.250, 0.250, 0.250], [0.750, 0.750, 0.750]],
  "sg": "Fm-3m",
  "raw_formation_energy_ev_per_fu": -5.560,
  "dos_ef_per_ev_atom": 0.35,
  "polymorph_energy_mev_per_atom": 143
}

***

[2]
{
  "formula": "BaNaBr2",
  "functional": "PBE-GGA",
  "state": "optimized geometry",
  "lattice_angstrom": [[-3.590, 3.590, 7.154], [3.590, -3.590, 7.154], [3.590, 3.590, -7.154]],
  "species": ["Ba", "Ba", "Na", "Na", "Br", "Br", "Br", "Br"],
  "fractional_positions": [[0.000, 0.000, 0.000], [0.750, 0.250, 0.500], [0.250, 0.750, 0.500], [0.500, 0.500, 0.000], [0.162, 0.625, 0.037], [0.375, 0.412, 0.537], [0.588, 0.125, 0.963], [0.875, 0.838, 0.463]],
  "sg": "I-42d",
  "raw_formation_energy_ev_per_fu": -5.531,
  "dos_ef_per_ev_atom": 1.04,
  "polymorph_energy_mev_per_atom": 150
}

***

[3]
{
  "formula": "BaNa2Br",
  "functional": "PBE-GGA",
  "state": "optimized geometry",
  "lattice_angstrom": [[0.000, 4.329, 4.329], [4.329, 0.000, 4.329], [4.329, 4.329, 0.000]],
  "species": ["Ba", "Na", "Na", "Br"],
  "fractional_positions": [[0.000, 0.000, 0.000], [0.250, 0.250, 0.250], [0.750, 0.750, 0.750], [0.500, 0.500, 0.500]],
  "sg": "Fm-3m",
  "raw_formation_energy_ev_per_fu": -1.086,
  "dos_ef_per_ev_atom": 0.85,
  "polymorph_energy_mev_per_atom": 353
}